Below is a geometry-optimized ScReTc2 structure, with properties calculated at the PBE-GGA level.

Unit cell a=7.532 b=6.915 c=5.297 alpha=90.00 beta=90.00 gamma=90.00
Positions (direct):
1 Sc 0.034 0.250 0.124
2 Sc 0.466 0.750 0.624
3 Sc 0.534 0.250 0.376
4 Sc 0.966 0.750 0.876
5 Re 0.097 0.750 0.368
6 Re 0.403 0.250 0.868
7 Re 0.597 0.750 0.132
8 Re 0.903 0.250 0.632
9 Tc 0.190 0.050 0.599
10 Tc 0.190 0.450 0.599
11 Tc 0.310 0.550 0.099
12 Tc 0.310 0.950 0.099
13 Tc 0.690 0.050 0.901
14 Tc 0.690 0.450 0.901
15 Tc 0.810 0.550 0.401
16 Tc 0.810 0.950 0.401

- total DFT energy (no corrections) (eV/cell) = -156.77
- magnetic moment (μB per formula unit) = 0.001
- symmetry = Pnma, No. 62
- DFT formation energy (meV per atom) = 70
- energy relative to the lowest polymorph listed for this composition (meV/atom) = 267